1.
Below is an optimized crystal structure of KMgFe2, with properties calculated at the PBE-GGA level.

Geometry as POSCAR:
```
KMgFe2
1.0
6.961 0.000 0.000
0.000 6.961 0.000
0.000 0.000 6.961
K Mg Fe
4 4 8
Cartesian
0.000 0.000 0.000
0.000 3.481 3.481
3.481 0.000 3.481
3.481 3.481 0.000
0.000 0.000 3.481
0.000 3.481 0.000
3.481 0.000 0.000
3.481 3.481 3.481
1.740 1.740 1.740
1.740 1.740 5.221
1.740 5.221 1.740
1.740 5.221 5.221
5.221 1.740 1.740
5.221 1.740 5.221
5.221 5.221 1.740
5.221 5.221 5.221
```

Values from the calculation:
ΔE_f = 4.8 eV per formula unit
E above lowest polymorph = 0.7080 eV/atom


2.
Below is an optimized crystal structure of ZnHg2BBr, with properties calculated at the PBE-GGA level.

Geometry as POSCAR:
```
ZnHg2BBr
1.0
4.841 0.000 0.000
0.000 4.841 0.000
0.000 0.000 4.360
Zn Hg B Br
1 2 1 1
Cartesian
0.000 0.000 0.000
0.000 2.421 2.180
2.421 0.000 2.180
0.000 0.000 2.180
2.421 2.421 0.000
```

Values from the calculation:
formation energy without anion corrections = 0.213 eV per atom


3.
Below is an optimized crystal structure of CrRu2, with properties calculated at the PBE-GGA level.

Geometry as POSCAR:
```
CrRu2
1.0
6.171 0.000 0.000
-3.085 5.344 0.000
0.000 0.000 3.797
Cr Ru
3 6
Cartesian
0.000 0.000 0.000
0.000 3.563 1.898
3.085 1.781 1.898
-0.795 1.378 1.898
-1.859 3.220 0.000
1.591 0.000 1.898
1.226 2.124 0.000
3.718 0.000 0.000
2.290 3.966 1.898
```

Values from the calculation:
ΔE_f = 0.9 eV per formula unit


4.
Below is an optimized crystal structure of Pr4TlCu, with properties calculated at the PBE-GGA level.

Geometry as POSCAR:
```
Pr4TlCu
1.0
5.582 0.000 0.000
0.000 7.339 0.000
-1.532 0.000 8.837
Pr Tl Cu
8 2 2
Cartesian
0.720 1.835 0.370
0.568 5.504 3.278
0.727 3.818 6.520
0.727 7.191 6.520
3.323 0.148 2.318
3.323 3.521 2.318
3.482 1.835 5.560
3.330 5.504 8.467
0.619 1.835 3.663
3.431 5.504 5.174
1.990 5.504 0.443
2.060 1.835 8.394
```

Values from the calculation:
ΔE_f = -0.9 eV per formula unit
E above lowest polymorph = 0.0000 eV/atom


no.,total DFT energy (no corrections) (eV/atom)
1,-3.712
2,-1.832
3,-9.079
4,-4.406